CsK2Hg3 | GGA-PBE | optimized geometry

```
data_CsK2Hg3
_chemical_formula_sum 'Cs2 K4 Hg6'
_cell_length_a 6.000
_cell_length_b 18.028
_cell_length_c 4.616
_cell_angle_alpha 90.00
_cell_angle_beta 90.00
_cell_angle_gamma 90.00
_symmetry_space_group_name_H-M 'C m m m'
_symmetry_Int_Tables_number 65
_symmetry_space_group_name_Hall '-C 2 2'
loop_
_atom_site_label
_atom_site_fract_x
_atom_site_fract_y
_atom_site_fract_z
Cs1 0.000 0.000 0.000
K1 0.000 0.334 0.000
Hg1 0.000 0.181 0.500
Hg2 0.000 0.500 0.500
```

**Density**: 5406 kg/m3
**Magnetization**: 0.000 μB/f.u.
**Raw total energy**: -0.86 eV/atom

=====

Dy2Tm2Th5 | GGA-PBE | optimized geometry

```
data_Dy2Tm2Th5
_chemical_formula_sum 'Dy4 Tm4 Th10'
_cell_length_a 11.306
_cell_length_b 4.987
_cell_length_c 10.694
_cell_angle_alpha 90.00
_cell_angle_beta 108.77
_cell_angle_gamma 90.00
_symmetry_space_group_name_H-M 'C 1 2/m 1'
_symmetry_Int_Tables_number 12
_symmetry_space_group_name_Hall '-C 2y'
loop_
_atom_site_label
_atom_site_fract_x
_atom_site_fract_y
_atom_site_fract_z
Dy1 0.166 0.000 0.056
Tm1 0.168 0.000 0.391
Th1 0.000 0.500 0.169
Th2 0.000 0.500 0.500
Th3 0.165 0.000 0.722
```

**Density**: 10604 kg/m3
**Magnetization**: 0.000 μB/f.u.
**Raw total energy**: -6.09 eV/atom

=====

CsTeNF2 | GGA-PBE | optimized geometry

```
data_CsTeNF2
_chemical_formula_sum 'Cs1 Te1 N1 F2'
_cell_length_a 5.490
_cell_length_b 5.490
_cell_length_c 5.026
_cell_angle_alpha 90.00
_cell_angle_beta 90.00
_cell_angle_gamma 90.00
_symmetry_space_group_name_H-M 'P 4/m m m'
_symmetry_Int_Tables_number 123
_symmetry_space_group_name_Hall '-P 4 2'
loop_
_atom_site_label
_atom_site_fract_x
_atom_site_fract_y
_atom_site_fract_z
Cs1 0.000 0.000 0.000
Te1 0.500 0.500 0.500
N1 0.000 0.000 0.500
F1 0.000 0.500 0.000
```

**Formation energy from raw total energies**: 0.46 eV/atom
**Density**: 3426 kg/m3
**Magnetization**: 5.009 μB/f.u.
**E above lowest polymorph**: 1499.0 meV/atom
**Raw total energy**: -2.75 eV/atom